(1)
A plane-wave DFT calculation with PBE-GGA was carried out for an optimized crystal structure of RbDyWN3.

abc: 13.5326 3.9144 8.2885
angles: 90.00 104.13 90.00
Space group C2/m (No. 12)
One atom of each set of equivalent atoms:
Rb  0.1450  0.0000  0.0667 [4 per cell]
Dy  0.1625  0.0000  0.5844 [4 per cell]
W  0.0089  0.5000  0.3336 [4 per cell]
N  0.0136  0.0000  0.3519 [4 per cell]
N  0.1341  0.5000  0.7689 [4 per cell]
N  0.1616  0.5000  0.3700 [4 per cell]

DFT total energy: -47.12 eV per formula unit
total magnetic moment: 0.00 μB per formula unit
energy relative to the elements, uncorrected: -0.60 eV/atom

(2)
A plane-wave DFT calculation with PBE-GGA was carried out for an optimized crystal structure of BaZrTa.

abc: 4.1339 4.7749 16.8404
angles: 90.00 90.00 90.00
Space group Fmm2 (No. 42)
One atom of each set of equivalent atoms:
Ba  0.0000  0.0000  0.0000 [4 per cell]
Zr  0.0000  0.0000  0.2962 [4 per cell]
Ta  0.0000  0.0000  0.6765 [4 per cell]

formation energy: 65.3 kJ per mole of atoms
DFT total energy: -20.29 eV per formula unit
total magnetic moment: 0.00 μB per formula unit
energy relative to the lowest polymorph listed for this composition: 0 meV per atom

(3)
A plane-wave DFT calculation with PBE-GGA was carried out for an optimized crystal structure of NbV3C3.

abc: 5.8695 5.8695 16.2178
angles: 90.00 90.00 120.00
Space group R-3 (No. 148, hexagonal axes)
One atom of each set of equivalent atoms:
Nb  0.0000  0.0000  0.1708 [6 per cell]
V  0.0137  0.7288  0.6161 [18 per cell]
C  0.0072  0.6272  0.4131 [18 per cell]

formation energy: -14.8 kJ per mole of atoms
DFT total energy: -66.17 eV per formula unit
total magnetic moment: 0.00 μB per formula unit